1.
DFT (meta-GGA SCAN) results for Ba2NaMnCu at its PBEsol-relaxed geometry.

Formation energy from the elements   0.698 eV/atom
Total magnetization   2.81 μB/f.u.
Crystal system   tetragonal

a b c (Å): 5.8387 5.8387 5.3120
angles (deg): 90.00 90.00 90.00
Last column: nearest neighbours and their distance in Å.
Fractional coordinates of all 5 atoms:
Ba1 0.0000 0.5000 0.0000  2 Mn 2.92
Ba2 0.5000 0.0000 0.0000  2 Mn 2.92
Na1 0.0000 0.0000 0.5000  2 Mn 2.66
Mn1 0.0000 0.0000 0.0000  2 Na 2.66, 4 Ba 2.92
Cu1 0.5000 0.5000 0.5000  8 Ba 3.95, 4 Na 4.13



2.
DFT (meta-GGA SCAN) results for Ba2MnCuP4O14 at its PBEsol-relaxed geometry.

Total magnetization   5.47 μB/f.u.
Crystal system   triclinic

a b c (Å): 5.2984 7.3743 7.5654
angles (deg): 102.59 91.39 95.22
Last column: nearest neighbours and their distance in Å.
Fractional coordinates of all 22 atoms:
Ba1 0.0000 0.0000 0.0000  8 O 2.65-2.92
Ba2 0.4012 0.5527 0.8613  9 O 2.70-3.00
Mn1 0.3871 0.3993 0.3355  5 O 1.99-2.11
Cu1 0.0154 0.1314 0.5343  4 O 1.97-2.14
P1 0.4954 0.9639 0.3322  4 O 1.50-1.62
P2 0.5071 0.0453 0.7204  4 O 1.52-1.62
P3 0.8955 0.5110 0.1467  4 O 1.51-1.61
P4 0.9175 0.5921 0.5321  4 O 1.49-1.62
O1 0.1178 0.3872 0.1361  1 P 1.55
O2 0.1197 0.4505 0.5221  1 P 1.56
O3 0.2854 0.1692 0.7326  1 P 1.55
O4 0.3037 0.1153 0.3396  1 P 1.57
O5 0.4175 0.7929 0.1867  1 P 1.50
O6 0.4729 0.9012 0.5242  2 P 1.62
O7 0.4914 0.9270 0.8621  1 P 1.52
O8 0.6386 0.3935 0.1418  1 P 1.54
O9 0.6490 0.4925 0.5346  1 P 1.54
O10 0.7652 0.1603 0.7308  1 P 1.53
O11 0.7675 0.0532 0.3268  1 P 1.53
O12 0.9059 0.6226 0.0008  1 P 1.51
O13 0.9285 0.6569 0.3403  2 P 1.61-1.62
O14 0.9789 0.7614 0.6809  1 P 1.49



3.
DFT (meta-GGA SCAN) results for BaCuMo2 at its PBEsol-relaxed geometry.

Formation energy from the elements   1.251 eV/atom
Total magnetization   0.00 μB/f.u.
Crystal system   monoclinic

a b c (Å): 5.8937 5.8937 3.2137
angles (deg): 104.86 104.86 125.28
Last column: nearest neighbours and their distance in Å.
Fractional coordinates of all 4 atoms:
Ba1 0.0000 0.0000 0.0000  4 Cu 2.71-2.82, 4 Mo 2.97
Cu1 0.5000 0.5000 0.0000  4 Ba 2.71-2.82, 4 Mo 2.97
Mo1 0.0000 0.5000 0.5000  4 Mo 2.71-2.82, 2 Ba 2.97, 2 Cu 2.97
Mo2 0.5000 0.0000 0.5000  4 Mo 2.71-2.82, 2 Ba 2.97, 2 Cu 2.97



4.
DFT (meta-GGA SCAN) results for BaNa2CuN at its PBEsol-relaxed geometry.

Total magnetization   0.00 μB/f.u.
Crystal system   tetragonal

a b c (Å): 6.4483 6.4483 4.3697
angles (deg): 90.00 90.00 90.00
Last column: nearest neighbours and their distance in Å.
Fractional coordinates of all 5 atoms:
Ba1 0.0000 0.0000 0.0000  2 N 2.18
Na1 0.0000 0.5000 0.0000  2 Ba 3.22
Na2 0.5000 0.0000 0.0000  2 Ba 3.22
Cu1 0.5000 0.5000 0.5000  8 Na 3.89
N1 0.0000 0.0000 0.5000  2 Ba 2.18



5.
DFT (meta-GGA SCAN) results for BaCuSe2N at its PBEsol-relaxed geometry.

Total magnetization   4.00 μB/f.u.
Crystal system   tetragonal

a b c (Å): 5.9451 5.9451 5.0437
angles (deg): 90.00 90.00 90.00
Last column: nearest neighbours and their distance in Å.
Fractional coordinates of all 5 atoms:
Ba1 0.0000 0.0000 0.0000  2 N 2.52
Cu1 0.5000 0.5000 0.5000  8 Se 3.90, 4 N 4.20
Se1 0.0000 0.5000 0.0000  2 Ba 2.97
Se2 0.5000 0.0000 0.0000  2 Ba 2.97
N1 0.0000 0.0000 0.5000  2 Ba 2.52



6.
DFT (meta-GGA SCAN) results for Ba3NaCu at its PBEsol-relaxed geometry.

Formation energy from the elements   0.031 eV/atom
Total magnetization   0.00 μB/f.u.
Crystal system   cubic

a b c (Å): 6.2554 6.2554 6.2554
angles (deg): 90.00 90.00 90.00
Last column: nearest neighbours and their distance in Å.
Fractional coordinates of all 5 atoms:
Ba1 0.0000 0.0000 0.5000  2 Cu 3.13
Ba2 0.0000 0.5000 0.0000  2 Cu 3.13
Ba3 0.5000 0.0000 0.0000  2 Cu 3.13
Na1 0.5000 0.5000 0.5000  12 Ba 4.42
Cu1 0.0000 0.0000 0.0000  6 Ba 3.13



7.
DFT (meta-GGA SCAN) results for Ba2NaCu3O6 at its PBEsol-relaxed geometry.

Total magnetization   2.02 μB/f.u.
Crystal system   orthorhombic

a b c (Å): 9.1572 8.3199 7.0288
angles (deg): 72.70 60.17 47.13
Last column: nearest neighbours and their distance in Å.
Fractional coordinates of all 24 atoms:
Ba1 0.2302 0.7698 0.2302  10 O 2.80-3.11
Ba2 0.2500 0.2500 0.2500  8 O 2.72-2.76
Ba3 0.7500 0.7500 0.7500  8 O 2.72-2.76
Ba4 0.7698 0.2302 0.7698  10 O 2.80-3.11
Na1 0.3305 0.3305 0.6695  6 O 2.39-2.43
Na2 0.6695 0.6695 0.3305  6 O 2.39-2.43
Cu1 0.0039 0.7000 0.9961  4 O 1.92-1.93
Cu2 0.3000 0.9961 0.7000  4 O 1.92-1.93
Cu3 0.3107 0.6893 0.6893  4 O 1.86
Cu4 0.6893 0.3107 0.3107  4 O 1.86
Cu5 0.7000 0.0039 0.3000  4 O 1.92-1.93
Cu6 0.9961 0.3000 0.0039  4 O 1.92-1.93
O1 0.0719 0.3050 0.6950  2 Cu 1.92
O2 0.0899 0.7231 0.6837  2 Cu 1.86-1.93
O3 0.2769 0.9101 0.4967  2 Cu 1.86-1.93
O4 0.3050 0.0719 0.9281  2 Cu 1.92
O5 0.3163 0.4967 0.9101  2 Cu 1.86-1.93
O6 0.4967 0.3163 0.2769  2 Cu 1.86-1.93
O7 0.5033 0.6837 0.7231  2 Cu 1.86-1.93
O8 0.6837 0.5033 0.0899  2 Cu 1.86-1.93
O9 0.6950 0.9281 0.0719  2 Cu 1.92
O10 0.7231 0.0899 0.5033  2 Cu 1.86-1.93
O11 0.9101 0.2769 0.3163  2 Cu 1.86-1.93
O12 0.9281 0.6950 0.3050  2 Cu 1.92



8.
DFT (meta-GGA SCAN) results for BaNa2V2CuO8 at its PBEsol-relaxed geometry.

Total magnetization   0.95 μB/f.u.
Crystal system   monoclinic

a b c (Å): 5.4632 5.4632 13.9516
angles (deg): 92.64 92.64 63.10
Last column: nearest neighbours and their distance in Å.
Fractional coordinates of all 28 atoms:
Ba1 0.1234 0.8766 0.7500  10 O 2.72-3.00
Ba2 0.8766 0.1234 0.2500  10 O 2.72-3.00
Na1 0.2629 0.4150 0.4121  5 O 2.30-2.47
Na2 0.4150 0.2629 0.9121  5 O 2.30-2.47
Na3 0.5850 0.7371 0.0879  5 O 2.30-2.47
Na4 0.7371 0.5850 0.5879  5 O 2.30-2.47
V1 0.2378 0.4060 0.1286  4 O 1.69-1.76
V2 0.4060 0.2378 0.6286  4 O 1.69-1.76
V3 0.5940 0.7622 0.3714  4 O 1.69-1.76
V4 0.7622 0.5940 0.8714  4 O 1.69-1.76
Cu1 0.0000 0.0000 0.0000  4 O 1.94-1.95
Cu2 0.0000 0.0000 0.5000  4 O 1.94-1.95
O1 0.0025 0.2970 0.0830  1 V 1.73
O2 0.1343 0.7541 0.1066  1 V 1.76, 1 Cu 1.94
O3 0.2048 0.5418 0.5773  1 V 1.69
O4 0.2459 0.8657 0.3934  1 V 1.76, 1 Cu 1.94
O5 0.2842 0.3490 0.2477  1 V 1.69
O6 0.2970 0.0025 0.5830  1 V 1.73
O7 0.3490 0.2842 0.7477  1 V 1.69
O8 0.4582 0.7952 0.9227  1 V 1.69
O9 0.5418 0.2048 0.0773  1 V 1.69
O10 0.6510 0.7158 0.2523  1 V 1.69
O11 0.7030 0.9975 0.4170  1 V 1.73
O12 0.7158 0.6510 0.7523  1 V 1.69
O13 0.7541 0.1343 0.6066  1 V 1.76, 1 Cu 1.94
O14 0.7952 0.4582 0.4227  1 V 1.69
O15 0.8657 0.2459 0.8934  1 V 1.76, 1 Cu 1.94
O16 0.9975 0.7030 0.9170  1 V 1.73



9.
DFT (meta-GGA SCAN) results for BaNb2Cu at its PBEsol-relaxed geometry.

Formation energy from the elements   1.213 eV/atom
Total magnetization   0.00 μB/f.u.
Crystal system   cubic

a b c (Å): 4.7351 4.7351 4.7351
angles (deg): 60.00 60.00 60.00
Last column: nearest neighbours and their distance in Å.
Fractional coordinates of all 4 atoms:
Ba1 0.0000 0.0000 0.0000  8 Nb 2.90
Nb1 0.2500 0.2500 0.2500  4 Cu 2.90, 4 Ba 2.90
Nb2 0.7500 0.7500 0.7500  4 Ba 2.90, 4 Cu 2.90
Cu1 0.5000 0.5000 0.5000  8 Nb 2.90



10.
DFT (meta-GGA SCAN) results for Ba2NdNbCu2O8 at its PBEsol-relaxed geometry.

Total magnetization   0.00 μB/f.u.
Crystal system   tetragonal

a b c (Å): 3.9593 3.9593 11.8609
angles (deg): 90.00 90.00 90.00
Last column: nearest neighbours and their distance in Å.
Fractional coordinates of all 14 atoms:
Ba1 0.0000 0.0000 0.1966  12 O 2.82-3.06
Ba2 0.0000 0.0000 0.8034  12 O 2.82-3.06
Nd1 0.0000 0.0000 0.5000  8 O 2.48
Nb1 0.5000 0.5000 0.0000  6 O 1.98
Cu1 0.5000 0.5000 0.3608  4 O 1.99
Cu2 0.5000 0.5000 0.6392  4 O 1.99
O1 0.0000 0.5000 0.0000  2 Nb 1.98
O2 0.0000 0.5000 0.3737  2 Cu 1.99
O3 0.0000 0.5000 0.6263  2 Cu 1.99
O4 0.5000 0.0000 0.0000  2 Nb 1.98
O5 0.5000 0.0000 0.3737  2 Cu 1.99
O6 0.5000 0.0000 0.6263  2 Cu 1.99
O7 0.5000 0.5000 0.1673  1 Nb 1.98
O8 0.5000 0.5000 0.8327  1 Nb 1.98



11.
DFT (meta-GGA SCAN) results for Ba2PrNbCu2O8 at its PBEsol-relaxed geometry.

Total magnetization   0.00 μB/f.u.
Crystal system   tetragonal

a b c (Å): 12.6975 12.6975 12.6975
angles (deg): 154.73 154.73 36.04
Last column: nearest neighbours and their distance in Å.
Fractional coordinates of all 28 atoms:
Ba1 0.0987 0.5987 0.5000  10 O 2.81-2.90
Ba2 0.4013 0.9013 0.5000  10 O 2.81-2.90
Ba3 0.5987 0.0987 0.5000  10 O 2.81-2.90
Ba4 0.9013 0.4013 0.5000  10 O 2.81-2.90
Pr1 0.2500 0.7500 0.5000  8 O 2.49-2.50
Pr2 0.7500 0.2500 0.5000  8 O 2.49-2.50
Nb1 0.0000 0.0000 0.0000  6 O 1.98-2.01
Nb2 0.5000 0.5000 0.0000  6 O 1.98-2.01
Cu1 0.1794 0.1794 0.0000  4 O 1.97
Cu2 0.3206 0.3206 0.0000  4 O 1.97
Cu3 0.6794 0.6794 0.0000  4 O 1.97
Cu4 0.8206 0.8206 0.0000  4 O 1.97
O1 0.0626 0.0642 0.5000  2 Cu 1.97
O2 0.0642 0.5642 0.0017  2 Cu 1.97
O3 0.0821 0.0821 0.0000  1 Nb 1.98
O4 0.1960 0.6960 0.8920  2 Nb 2.01
O5 0.3040 0.1960 0.5000  2 Nb 2.01
O6 0.4179 0.4179 0.0000  1 Nb 1.98
O7 0.4358 0.4374 0.5000  2 Cu 1.97
O8 0.4374 0.9374 0.0017  2 Cu 1.97
O9 0.5626 0.0626 0.9983  2 Cu 1.97
O10 0.5642 0.5626 0.5000  2 Cu 1.97
O11 0.5821 0.5821 0.0000  1 Nb 1.98
O12 0.6960 0.8040 0.5000  2 Nb 2.01
O13 0.8040 0.3040 0.1080  2 Nb 2.01
O14 0.9179 0.9179 0.0000  1 Nb 1.98
O15 0.9358 0.4358 0.9983  2 Cu 1.97
O16 0.9374 0.9358 0.5000  2 Cu 1.97



12.
DFT (meta-GGA SCAN) results for RbBaNbCu2 at its PBEsol-relaxed geometry.

Formation energy from the elements   1.878 eV/atom
Total magnetization   4.09 μB/f.u.
Crystal system   tetragonal

a b c (Å): 5.1329 5.1329 5.8206
angles (deg): 90.00 90.00 90.00
Last column: nearest neighbours and their distance in Å.
Fractional coordinates of all 5 atoms:
Rb1 0.0000 0.0000 0.0000  4 Cu 2.57
Ba1 0.0000 0.0000 0.5000  2 Rb 2.91
Nb1 0.5000 0.5000 0.5000  4 Ba 3.63, 8 Cu 3.88
Cu1 0.0000 0.5000 0.0000  2 Rb 2.57
Cu2 0.5000 0.0000 0.0000  2 Rb 2.57



Number 1: V 36.22 A^3/atom, DOS at the Fermi energy 4.22 states/eV/f.u., calculated total energy -113.28 eV/f.u.. Number 2: V 13.04 A^3/atom, DOS at the Fermi energy 3.08 states/eV/f.u., calculated total energy -299.06 eV/f.u.. Number 3: V 18.90 A^3/atom, DOS at the Fermi energy 3.56 states/eV/f.u., calculated total energy -119.52 eV/f.u.. Number 4: V 36.34 A^3/atom, DOS at the Fermi energy 1.49 states/eV/f.u., calculated total energy -67.18 eV/f.u.. Number 5: V 35.65 A^3/atom, DOS at the Fermi energy 3.46 states/eV/f.u., calculated total energy -98.24 eV/f.u.. Number 6: V 48.96 A^3/atom, DOS at the Fermi energy 3.56 states/eV/f.u., calculated total energy -137.91 eV/f.u.. Number 7: V 14.16 A^3/atom, DOS at the Fermi energy 3.67 states/eV/f.u., calculated total energy -186.42 eV/f.u.. Number 8: V 13.24 A^3/atom, DOS at the Fermi energy 0.00 states/eV/f.u., calculated total energy -182.20 eV/f.u.. Number 9: V 18.77 A^3/atom, DOS at the Fermi energy 4.54 states/eV/f.u., calculated total energy -116.16 eV/f.u.. Number 10: V 13.28 A^3/atom, DOS at the Fermi energy 2.29 states/eV/f.u., calculated total energy -271.60 eV/f.u.. Number 11: V 13.31 A^3/atom, DOS at the Fermi energy 1.71 states/eV/f.u., calculated total energy -271.33 eV/f.u.. Number 12: V 30.67 A^3/atom, DOS at the Fermi energy 3.36 states/eV/f.u., calculated total energy -114.43 eV/f.u..